Record 1
First-principles (GGA-PBE) data for a relaxed structure of Pm4DyY15, as listed in Alexandria via LeMat-Bulk.

Cell and atoms, written as CIF:
```
data_Pm4DyY15
_chemical_formula_sum 'Pm4 Dy1 Y15'
_symmetry_space_group_name_H-M 'P 4/m m m'
_symmetry_Int_Tables_number 123
_symmetry_space_group_name_Hall '-P 4 2'
_cell_length_a 5.0736
_cell_length_b 5.0736
_cell_length_c 25.3094
_cell_angle_alpha 90.00
_cell_angle_beta 90.00
_cell_angle_gamma 90.00
loop_
_atom_site_label
_atom_site_fract_x
_atom_site_fract_y
_atom_site_fract_z
Pm1 0.0000 0.0000 0.1003
Pm2 0.0000 0.0000 0.3005
Dy1 0.0000 0.0000 0.5000
Y1 0.0000 0.5000 0.0000
Y2 0.0000 0.5000 0.2005
Y3 0.0000 0.5000 0.4010
Y4 0.5000 0.5000 0.1002
Y5 0.5000 0.5000 0.3008
Y6 0.5000 0.5000 0.5000
```

Energy (eV per cell): -120.15
D(E_F) (states/eV per cell): 28.8
Size of the total moment (μB per formula unit): 0.0
E_form (eV per atom): 0.02



Record 2
First-principles (GGA-PBE) data for a relaxed structure of PmDy4Y5, as listed in Alexandria via LeMat-Bulk.

Cell and atoms, written as CIF:
```
data_PmDy4Y5
_chemical_formula_sum 'Pm1 Dy4 Y5'
_symmetry_space_group_name_H-M 'P 1'
_symmetry_Int_Tables_number 1
_cell_length_a 6.3053
_cell_length_b 6.7422
_cell_length_c 9.2403
_cell_angle_alpha 107.73
_cell_angle_beta 90.04
_cell_angle_gamma 117.86
loop_
_symmetry_equiv_pos_as_xyz
'x,y,z'
loop_
_atom_site_label
_atom_site_fract_x
_atom_site_fract_y
_atom_site_fract_z
Pm1 0.0000 0.0000 0.0000
Dy1 0.2000 0.3967 0.3990
Dy2 0.2626 0.1997 0.6985
Dy3 0.6002 0.1988 0.2002
Dy4 0.8645 0.3969 0.8992
Y1 0.0668 0.7970 0.3005
Y2 0.3954 0.7982 0.7979
Y3 0.4680 0.5987 0.0990
Y4 0.6642 0.9991 0.4993
Y5 0.7974 0.5979 0.5994
```

Energy (eV per cell): -55.41
D(E_F) (states/eV per cell): 18.5
Size of the total moment (μB per formula unit): 0.0
E_form (eV per atom): 0.01



Record 3
First-principles (GGA-PBE) data for a relaxed structure of Pm4DyY6, as listed in Alexandria via LeMat-Bulk.

Cell and atoms, written as CIF:
```
data_Pm4DyY6
_chemical_formula_sum 'Pm16 Dy4 Y24'
_symmetry_space_group_name_H-M 'C m c m'
_symmetry_Int_Tables_number 63
_symmetry_space_group_name_Hall '-C 2c 2'
_cell_length_a 5.7793
_cell_length_b 9.7219
_cell_length_c 25.9594
_cell_angle_alpha 90.00
_cell_angle_beta 90.00
_cell_angle_gamma 90.00
loop_
_atom_site_label
_atom_site_fract_x
_atom_site_fract_y
_atom_site_fract_z
Pm1 0.0000 0.0300 0.1219
Pm2 0.0000 0.3434 0.0443
Dy1 0.0000 0.3166 0.7500
Y1 0.0000 0.0000 0.0000
Y2 0.0000 0.0174 0.2500
Y3 0.0000 0.3102 0.6058
Y4 0.0000 0.3550 0.1826
```

Energy (eV per cell): -244.47
D(E_F) (states/eV per cell): 83.4
Size of the total moment (μB per formula unit): 0.0
E_form (eV per atom): 0.12
Energy above the most stable polymorph in this dataset (meV per atom): 0